Entry 1:
# Li7ScSn4

Crystalline Li7ScSn4 at its relaxed geometry (PBE, Alexandria).

Geometry as extended XYZ:
```
12
Lattice="4.876 0.000 0.000 2.438 8.046 0.232 2.438 0.459 6.487" Properties=species:S:1:pos:R:3 pbc="T T T"
Li 7.313 7.295 3.752
Li 2.438 1.209 2.967
Li 2.438 5.169 1.518
Li 7.313 3.336 5.202
Li 4.876 5.130 4.851
Li 2.438 0.000 0.000
Li 4.876 3.375 1.868
Sc 0.000 0.000 0.000
Sn 4.876 1.954 4.324
Sn 4.876 6.550 2.395
Sn 7.313 5.981 6.195
Sn 2.438 2.524 0.524
```

Output
DFT formation energy	-0.212	eV per atom
space group	No. 12
E	-3.190	eV/atom


Entry 2:
# Li3ScSn

Crystalline Li3ScSn at its relaxed geometry (PBE, Alexandria).

Geometry as extended XYZ:
```
5
Lattice="-3.597 -0.390 3.325 -2.995 -1.805 -3.451 1.495 -4.553 1.084" Properties=species:S:1:pos:R:3 pbc="T T T"
Sc -2.548 -3.374 0.479
Sn 0.000 0.000 0.000
Li -1.498 -0.903 -1.726
Li 0.748 -2.277 0.542
Li -1.798 -0.195 1.663
```

Output
DFT formation energy	0.216	eV per atom
space group	No. 221
E	-2.999	eV/atom
excess energy over the best structure of this formula in the dataset	0	meV/atom


Entry 3:
# LiScSn

Crystalline LiScSn at its relaxed geometry (PBE, Alexandria).

Geometry as extended XYZ:
```
6
Lattice="4.518 0.000 0.000 0.000 4.518 0.000 0.000 0.000 7.432" Properties=species:S:1:pos:R:3 pbc="T T T"
Sc 0.000 0.000 3.716
Sc 2.259 2.259 3.716
Sn 0.000 2.259 5.671
Sn 2.259 0.000 1.760
Li 0.000 2.259 1.107
Li 2.259 0.000 6.324
```

Output
DFT formation energy	-0.253	eV per atom
space group	No. 129
E	-4.336	eV/atom


Entry 4:
# LiScSn

Crystalline LiScSn at its relaxed geometry (PBE, Alexandria).

Geometry as extended XYZ:
```
6
Lattice="4.004 -2.312 0.000 0.000 4.624 0.000 0.000 0.000 11.452" Properties=species:S:1:pos:R:3 pbc="T T T"
Sc 0.000 0.000 2.863
Sc 0.000 0.000 8.589
Sn 0.000 0.000 0.000
Sn 0.000 0.000 5.726
Li 1.335 2.312 2.863
Li 2.670 0.000 8.589
```

Output
DFT formation energy	0.972	eV per atom
space group	No. 194
E	-3.111	eV/atom


Entry 5:
# LiScSn2

Crystalline LiScSn2 at its relaxed geometry (PBE, Alexandria).

Geometry as extended XYZ:
```
4
Lattice="4.219 0.000 0.000 0.000 4.531 0.000 0.000 0.000 4.531" Properties=species:S:1:pos:R:3 pbc="T T T"
Sc 2.110 2.265 2.265
Sn 0.000 0.000 2.265
Sn 0.000 2.265 0.000
Li 2.110 0.000 0.000
```

Output
DFT formation energy	-0.489	eV per atom
space group	No. 123
E	-4.552	eV/atom


Entry 6:
# LiScSn4

Crystalline LiScSn4 at its relaxed geometry (PBE, Alexandria).

Geometry as extended XYZ:
```
12
Lattice="-1.690 -3.798 3.661 5.254 -0.871 1.521 -0.785 6.615 6.498" Properties=species:S:1:pos:R:3 pbc="T T T"
Li -1.237 1.409 5.079
Li 2.235 2.872 4.009
Sc 0.000 0.000 0.000
Sc 1.782 -2.334 2.591
Sn 2.494 0.653 1.836
Sn 3.754 2.757 8.773
Sn 1.516 -0.095 4.803
Sn -2.203 0.576 7.948
Sn 0.285 1.293 9.843
Sn -0.974 -0.811 2.907
Sn 1.264 2.041 6.876
Sn 4.982 1.370 3.732
```

Output
DFT formation energy	-0.236	eV per atom
space group	No. 12
E	-4.279	eV/atom


Entry 7:
# Li2ScSn3

Crystalline Li2ScSn3 at its relaxed geometry (PBE, Alexandria).

Geometry as extended XYZ:
```
6
Lattice="-2.541 -1.988 -1.102 0.724 -3.079 3.884 -5.242 5.521 2.124" Properties=species:S:1:pos:R:3 pbc="T T T"
Li -1.243 -0.230 3.279
Li -3.275 2.672 2.729
Sc 0.000 0.000 0.000
Sn -2.988 0.407 0.879
Sn -0.908 -2.533 1.391
Sn -4.072 0.047 4.026
```

Output
DFT formation energy	-0.414	eV per atom
space group	No. 65
E	-4.109	eV/atom


Entry 8:
# LiScSn

Crystalline LiScSn at its relaxed geometry (PBE, Alexandria).

Geometry as extended XYZ:
```
6
Lattice="4.795 0.000 -0.022 0.000 3.472 0.000 -2.407 0.000 7.742" Properties=species:S:1:pos:R:3 pbc="T T T"
Sc 1.189 1.736 6.591
Sc 1.199 1.736 1.129
Sn -1.212 0.000 6.114
Sn 3.600 0.000 1.606
Li 1.194 0.000 3.860
Li -1.203 1.736 3.871
```

Output
DFT formation energy	-0.443	eV per atom
space group	No. 10
E	-4.526	eV/atom


Entry 9:
# LiScSn

Crystalline LiScSn at its relaxed geometry (PBE, Alexandria).

Geometry as extended XYZ:
```
6
Lattice="-2.149 -3.467 -1.958 -2.062 -2.849 7.308 -2.935 1.875 -0.097" Properties=species:S:1:pos:R:3 pbc="T T T"
Sc -1.812 -2.503 6.420
Sc -2.793 -1.142 -0.140
Sn -0.512 -0.707 1.815
Sn -4.092 -2.937 4.466
Li -2.557 -0.568 3.814
Li -2.047 -3.076 2.467
```

Output
DFT formation energy	-0.520	eV per atom
space group	No. 59
E	-4.603	eV/atom


Entry 10:
# LiScSn

Crystalline LiScSn at its relaxed geometry (PBE, Alexandria).

Geometry as extended XYZ:
```
6
Lattice="-1.891 -0.242 4.180 2.278 -3.608 -1.703 5.620 2.287 2.674" Properties=species:S:1:pos:R:3 pbc="T T T"
Sc 0.000 0.000 0.000
Sc 2.810 1.143 1.337
Sn 5.104 -0.771 2.263
Sn 0.904 -0.793 2.888
Li 3.714 0.351 4.225
Li 2.294 -1.914 0.926
```

Output
DFT formation energy	-0.582	eV per atom
space group	No. 194
E	-4.665	eV/atom


Entry 11:
# LiScSn3

Crystalline LiScSn3 at its relaxed geometry (PBE, Alexandria).

Geometry as extended XYZ:
```
20
Lattice="6.020 0.064 0.000 -0.059 6.045 0.000 0.000 0.000 12.591" Properties=species:S:1:pos:R:3 pbc="T T T"
Li 1.476 3.038 1.400
Li 4.515 0.048 11.189
Li 4.486 3.070 11.191
Li 1.505 0.016 1.402
Sc 3.035 1.544 8.657
Sc 2.926 4.564 3.934
Sc 0.025 1.512 3.934
Sc 5.936 4.596 8.657
Sn 1.505 0.016 6.349
Sn 4.486 3.070 6.245
Sn 4.515 0.048 6.242
Sn 1.476 3.038 6.346
Sn 1.009 4.545 11.513
Sn 4.952 1.563 1.078
Sn 4.019 4.577 1.078
Sn 1.942 1.531 11.513
Sn 2.964 4.566 9.173
Sn 2.997 1.543 3.418
Sn 5.974 4.598 3.418
Sn -0.013 1.511 9.173
```

Output
DFT formation energy	-0.355	eV per atom
space group	No. 13
E	-4.406	eV/atom
excess energy over the best structure of this formula in the dataset	0	meV/atom


Entry 12:
# Li5ScSn6

Crystalline Li5ScSn6 at its relaxed geometry (PBE, Alexandria).

Geometry as extended XYZ:
```
12
Lattice="-1.267 -2.200 -4.374 -6.113 -1.308 2.428 -1.737 7.708 -0.220" Properties=species:S:1:pos:R:3 pbc="T T T"
Sc 0.000 0.000 0.000
Sn -6.828 2.144 -2.221
Sn -3.824 2.787 -3.414
Sn -3.996 6.261 -1.761
Sn -5.121 -2.060 -0.405
Sn -5.293 1.414 1.249
Sn -2.289 2.057 0.056
Li -4.396 0.660 -1.451
Li -7.791 3.010 0.531
Li -3.057 -0.654 1.214
Li -1.326 1.191 -2.696
Li -4.720 3.540 -0.714
```

Output
DFT formation energy	-0.379	eV per atom
space group	No. 10
E	-3.705	eV/atom